Entry 1:
Computed, not measured: crystalline Nd2CdHg at its relaxed geometry at the PBE level of DFT.

```
Nd2CdHg
1.0
0.000 3.846 3.846
3.846 0.000 3.846
3.846 3.846 0.000
Nd Cd Hg
2 1 1
direct
0.250 0.250 0.250 Nd
0.750 0.750 0.750 Nd
0.000 0.000 0.000 Cd
0.500 0.500 0.500 Hg
```

Output
final energy	-3.08	eV per atom
symmetry	No. 225

=====

Entry 2:
Computed, not measured: crystalline Nd5CdHg3 at its relaxed geometry at the PBE level of DFT.

```
Nd5CdHg3
1.0
9.446 0.000 0.000
-4.723 8.180 0.000
0.000 0.000 6.843
Nd Cd Hg
10 2 6
direct
0.000 0.298 0.250 Nd
0.000 0.702 0.750 Nd
0.298 0.000 0.250 Nd
0.298 0.298 0.750 Nd
0.333 0.667 0.000 Nd
0.333 0.667 0.500 Nd
0.667 0.333 0.000 Nd
0.667 0.333 0.500 Nd
0.702 0.000 0.750 Nd
0.702 0.702 0.250 Nd
0.000 0.000 0.000 Cd
0.000 0.000 0.500 Cd
0.000 0.366 0.750 Hg
0.000 0.634 0.250 Hg
0.366 0.000 0.750 Hg
0.366 0.366 0.250 Hg
0.634 0.000 0.250 Hg
0.634 0.634 0.750 Hg
```

Output
final energy	-3.19	eV per atom
symmetry	No. 193

=====

Entry 3:
Computed, not measured: crystalline Nd3CdHg3 at its relaxed geometry at the PBE level of DFT.

```
Nd3CdHg3
1.0
5.183 -5.294 0.000
5.183 5.294 0.000
-0.001 0.000 7.464
Nd Cd Hg
6 2 6
direct
0.000 0.000 0.249 Nd
0.000 0.000 0.751 Nd
0.001 0.500 0.249 Nd
0.500 0.001 0.249 Nd
0.500 0.999 0.751 Nd
0.999 0.500 0.751 Nd
0.332 0.332 0.999 Cd
0.668 0.668 0.001 Cd
0.258 0.742 0.000 Hg
0.271 0.729 0.500 Hg
0.287 0.287 0.501 Hg
0.713 0.713 0.499 Hg
0.729 0.271 0.500 Hg
0.742 0.258 0.000 Hg
```

Output
final energy	-2.60	eV per atom
symmetry	No. 12

=====

Entry 4:
Computed, not measured: crystalline Nd3CdHg2 at its relaxed geometry at the PBE level of DFT.

```
Nd3CdHg2
1.0
2.710 -8.145 0.000
2.710 8.145 0.000
0.000 0.000 3.858
Nd Cd Hg
3 1 2
direct
0.000 0.000 0.000 Nd
0.331 0.669 0.000 Nd
0.669 0.331 0.000 Nd
0.500 0.500 0.500 Cd
0.163 0.837 0.500 Hg
0.837 0.163 0.500 Hg
```

Output
final energy	-3.06	eV per atom
symmetry	No. 65

=====

Entry 5:
Computed, not measured: crystalline Nd2Cd3Hg3 at its relaxed geometry at the PBE level of DFT.

```
Nd2Cd3Hg3
1.0
2.595 1.498 8.473
-2.595 1.498 8.473
0.000 -2.996 8.473
Nd Cd Hg
2 3 3
direct
0.000 0.000 0.000 Nd
0.496 0.496 0.496 Nd
0.247 0.247 0.247 Cd
0.749 0.749 0.749 Cd
0.874 0.874 0.874 Cd
0.125 0.125 0.125 Hg
0.372 0.372 0.372 Hg
0.622 0.622 0.622 Hg
```

Output
final energy	-2.03	eV per atom
symmetry	No. 160

=====

Entry 6:
Computed, not measured: crystalline Nd2CdHg at its relaxed geometry at the PBE level of DFT.

```
Nd2CdHg
1.0
5.422 0.000 0.000
0.000 5.422 0.000
0.000 0.000 3.870
Nd Cd Hg
2 1 1
direct
0.000 0.500 0.000 Nd
0.500 0.000 0.000 Nd
0.000 0.000 0.500 Cd
0.500 0.500 0.500 Hg
```

Output
final energy	-3.08	eV per atom
symmetry	No. 123

=====

Entry 7:
Computed, not measured: crystalline NdCd2Hg5 at its relaxed geometry at the PBE level of DFT.

```
NdCd2Hg5
1.0
10.098 0.000 0.000
0.000 10.763 0.000
0.000 0.000 7.389
Nd Cd Hg
4 8 20
direct
0.003 0.240 0.000 Nd
0.497 0.740 0.000 Nd
0.503 0.260 0.000 Nd
0.997 0.760 0.000 Nd
0.000 0.500 0.266 Cd
0.000 0.500 0.734 Cd
0.005 0.246 0.500 Cd
0.495 0.746 0.500 Cd
0.500 0.000 0.266 Cd
0.500 0.000 0.734 Cd
0.505 0.254 0.500 Cd
0.995 0.754 0.500 Cd
0.000 0.000 0.264 Hg
0.000 0.000 0.736 Hg
0.241 0.443 0.000 Hg
0.243 0.685 0.259 Hg
0.243 0.685 0.741 Hg
0.246 0.432 0.500 Hg
0.254 0.932 0.500 Hg
0.257 0.185 0.259 Hg
0.257 0.185 0.741 Hg
0.259 0.943 0.000 Hg
0.500 0.500 0.264 Hg
0.500 0.500 0.736 Hg
0.741 0.057 0.000 Hg
0.743 0.815 0.259 Hg
0.743 0.815 0.741 Hg
0.746 0.068 0.500 Hg
0.754 0.568 0.500 Hg
0.757 0.315 0.259 Hg
0.757 0.315 0.741 Hg
0.759 0.557 0.000 Hg
```

Output
final energy	-1.19	eV per atom
symmetry	No. 55

=====

Entry 8:
Computed, not measured: crystalline NdCd5Hg8 at its relaxed geometry at the PBE level of DFT.

```
NdCd5Hg8
1.0
-4.459 4.459 4.468
4.459 -4.459 4.468
4.459 4.459 -4.468
Nd Cd Hg
1 5 8
direct
0.000 0.000 0.000 Nd
0.084 0.504 0.872 Cd
0.250 0.750 0.500 Cd
0.496 0.368 0.579 Cd
0.632 0.212 0.128 Cd
0.788 0.916 0.421 Cd
0.058 0.309 0.441 Hg
0.257 0.155 0.769 Hg
0.383 0.942 0.251 Hg
0.386 0.488 0.231 Hg
0.512 0.743 0.898 Hg
0.691 0.132 0.749 Hg
0.845 0.614 0.102 Hg
0.868 0.617 0.559 Hg
```

Output
final energy	-0.91	eV per atom
symmetry	No. 82

=====

Entry 9:
Computed, not measured: crystalline Nd2CdHg4 at its relaxed geometry at the PBE level of DFT.

```
Nd2CdHg4
1.0
-2.673 2.673 7.896
2.673 -2.673 7.896
2.673 2.673 -7.896
Nd Cd Hg
2 1 4
direct
0.118 0.118 0.000 Nd
0.882 0.882 0.000 Nd
0.500 0.500 0.000 Cd
0.000 0.500 0.500 Hg
0.313 0.313 0.000 Hg
0.500 0.000 0.500 Hg
0.687 0.687 0.000 Hg
```

Output
final energy	-1.67	eV per atom
symmetry	No. 139

=====

Entry 10:
Computed, not measured: crystalline Nd8Cd2Hg at its relaxed geometry at the PBE level of DFT.

```
Nd8Cd2Hg
1.0
8.354 -2.765 0.000
8.354 2.765 0.000
-4.578 0.000 7.528
Nd Cd Hg
8 2 1
direct
0.071 0.071 0.221 Nd
0.136 0.136 0.686 Nd
0.320 0.320 0.551 Nd
0.409 0.409 0.053 Nd
0.591 0.591 0.947 Nd
0.680 0.680 0.449 Nd
0.864 0.864 0.314 Nd
0.929 0.929 0.779 Nd
0.229 0.229 0.117 Cd
0.771 0.771 0.883 Cd
0.500 0.500 0.500 Hg
```

Output
final energy	-3.84	eV per atom
symmetry	No. 12

=====

Entry 11:
Computed, not measured: crystalline Nd3CdHg5 at its relaxed geometry at the PBE level of DFT.

```
Nd3CdHg5
1.0
9.188 0.000 0.000
-4.594 7.957 0.000
0.000 0.000 6.485
Nd Cd Hg
6 2 10
direct
0.000 0.348 0.250 Nd
0.000 0.652 0.750 Nd
0.348 0.000 0.250 Nd
0.348 0.348 0.750 Nd
0.652 0.000 0.750 Nd
0.652 0.652 0.250 Nd
0.000 0.000 0.000 Cd
0.000 0.000 0.500 Cd
0.000 0.316 0.750 Hg
0.000 0.684 0.250 Hg
0.316 0.000 0.750 Hg
0.316 0.316 0.250 Hg
0.333 0.667 0.000 Hg
0.333 0.667 0.500 Hg
0.667 0.333 0.000 Hg
0.667 0.333 0.500 Hg
0.684 0.000 0.250 Hg
0.684 0.684 0.750 Hg
```

Output
final energy	-2.30	eV per atom
symmetry	No. 193

=====

Entry 12:
Computed, not measured: crystalline Nd2Cd5Hg at its relaxed geometry at the PBE level of DFT.

```
Nd2Cd5Hg
1.0
2.331 -8.904 0.000
2.331 8.904 0.000
0.000 0.000 10.011
Nd Cd Hg
4 10 2
direct
0.000 0.000 0.000 Nd
0.000 0.000 0.500 Nd
0.192 0.808 0.750 Nd
0.808 0.192 0.250 Nd
0.195 0.805 0.104 Cd
0.195 0.805 0.396 Cd
0.357 0.643 0.030 Cd
0.357 0.643 0.470 Cd
0.389 0.611 0.750 Cd
0.611 0.389 0.250 Cd
0.643 0.357 0.530 Cd
0.643 0.357 0.970 Cd
0.805 0.195 0.604 Cd
0.805 0.195 0.896 Cd
0.456 0.544 0.250 Hg
0.544 0.456 0.750 Hg
```

Output
final energy	-2.06	eV per atom
symmetry	No. 63

=====

Entry 13:
Computed, not measured: crystalline Nd2CdHg at its relaxed geometry at the PBE level of DFT.

```
Nd2CdHg
1.0
3.855 -5.435 0.000
3.855 5.435 0.000
0.000 0.000 5.429
Nd Cd Hg
4 2 2
direct
0.122 0.371 0.250 Nd
0.371 0.122 0.750 Nd
0.629 0.878 0.250 Nd
0.878 0.629 0.750 Nd
0.379 0.621 0.750 Cd
0.621 0.379 0.250 Cd
0.131 0.869 0.250 Hg
0.869 0.131 0.750 Hg
```

Output
final energy	-3.08	eV per atom
symmetry	No. 63

=====

Entry 14:
Computed, not measured: crystalline NdCdHg2 at its relaxed geometry at the PBE level of DFT.

```
NdCdHg2
1.0
0.000 3.674 3.674
3.674 0.000 3.674
3.674 3.674 0.000
Nd Cd Hg
1 1 2
direct
0.000 0.000 0.000 Nd
0.500 0.500 0.500 Cd
0.250 0.250 0.250 Hg
0.750 0.750 0.750 Hg
```

Output
final energy	-1.99	eV per atom
symmetry	No. 225

=====

Entry 15:
Computed, not measured: crystalline NdCd2Hg at its relaxed geometry at the PBE level of DFT.

```
NdCd2Hg
1.0
1.689 0.975 11.393
-1.689 0.975 11.393
0.000 -1.950 11.393
Nd Cd Hg
1 2 1
direct
0.000 0.000 0.000 Nd
0.094 0.094 0.094 Cd
0.906 0.906 0.906 Cd
0.500 0.500 0.500 Hg
```

Output
final energy	-1.57	eV per atom
symmetry	No. 166

=====

Entry 16:
Computed, not measured: crystalline NdCd2Hg8 at its relaxed geometry at the PBE level of DFT.

```
NdCd2Hg8
1.0
4.857 -6.557 0.000
4.857 6.557 0.000
-0.025 0.000 4.595
Nd Cd Hg
1 2 8
direct
0.000 0.000 0.000 Nd
0.385 0.615 0.500 Cd
0.615 0.385 0.500 Cd
0.040 0.317 0.502 Hg
0.245 0.755 0.000 Hg
0.317 0.040 0.502 Hg
0.328 0.328 0.001 Hg
0.672 0.672 0.999 Hg
0.683 0.960 0.498 Hg
0.755 0.245 0.000 Hg
0.960 0.683 0.498 Hg
```

Output
final energy	-0.92	eV per atom
symmetry	No. 12

=====

Entry 17:
Computed, not measured: crystalline Nd4CdHg3 at its relaxed geometry at the PBE level of DFT.

```
Nd4CdHg3
1.0
0.000 3.839 7.717
3.829 0.000 7.717
3.829 3.839 0.000
Nd Cd Hg
4 1 3
direct
0.125 0.125 0.375 Nd
0.375 0.375 0.125 Nd
0.625 0.625 0.875 Nd
0.875 0.875 0.625 Nd
0.000 0.000 0.000 Cd
0.249 0.249 0.751 Hg
0.500 0.500 0.500 Hg
0.751 0.751 0.249 Hg
```

Output
final energy	-3.04	eV per atom
symmetry	No. 69

=====

Entry 18:
Computed, not measured: crystalline Nd12Cd2Hg5 at its relaxed geometry at the PBE level of DFT.

```
Nd12Cd2Hg5
1.0
6.520 -5.353 0.000
6.520 5.353 0.000
-1.903 0.000 8.317
Nd Cd Hg
12 2 5
direct
0.002 0.662 0.189 Nd
0.100 0.100 0.154 Nd
0.171 0.616 0.604 Nd
0.338 0.998 0.811 Nd
0.384 0.829 0.396 Nd
0.391 0.391 0.258 Nd
0.609 0.609 0.742 Nd
0.616 0.171 0.604 Nd
0.662 0.002 0.189 Nd
0.829 0.384 0.396 Nd
0.900 0.900 0.846 Nd
0.998 0.338 0.811 Nd
0.277 0.723 0.000 Cd
0.723 0.277 0.000 Cd
0.000 0.000 0.500 Hg
0.232 0.232 0.507 Hg
0.374 0.374 0.873 Hg
0.626 0.626 0.127 Hg
0.768 0.768 0.493 Hg
```

Output
final energy	-3.41	eV per atom
symmetry	No. 12

=====

Entry 19:
Computed, not measured: crystalline NdCd4Hg7 at its relaxed geometry at the PBE level of DFT.

```
NdCd4Hg7
1.0
6.030 0.000 0.000
-1.104 6.428 0.000
-0.381 -1.792 7.726
Nd Cd Hg
1 4 7
direct
0.000 0.000 0.000 Nd
0.240 0.242 0.684 Cd
0.327 0.413 0.340 Cd
0.673 0.587 0.660 Cd
0.760 0.758 0.316 Cd
0.000 0.500 0.000 Hg
0.177 0.723 0.651 Hg
0.277 0.922 0.340 Hg
0.477 0.753 0.990 Hg
0.523 0.247 0.010 Hg
0.723 0.078 0.660 Hg
0.823 0.277 0.349 Hg
```

Output
final energy	-0.99	eV per atom
symmetry	No. 2

=====

Entry 20:
Computed, not measured: crystalline Nd3Cd2Hg at its relaxed geometry at the PBE level of DFT.

```
Nd3Cd2Hg
1.0
3.849 0.000 0.000
0.000 3.849 0.000
0.000 0.000 11.567
Nd Cd Hg
3 2 1
direct
0.000 0.000 0.000 Nd
0.000 0.000 0.335 Nd
0.000 0.000 0.665 Nd
0.500 0.500 0.165 Cd
0.500 0.500 0.835 Cd
0.500 0.500 0.500 Hg
```

Output
final energy	-3.11	eV per atom
symmetry	No. 123